A plane-wave DFT calculation with meta-GGA SCAN was carried out for a crystal of CrH20S2N2O14 relaxed with PBEsol.

Lattice parameters (Å, degrees): 6.0878 9.4117 12.7985 90.00 90.00 107.25
Fractional coordinates of all 78 atoms:
Cr 0.0000 0.5000 0.5000
Cr 0.0000 0.0000 0.0000
H 0.2305 0.5414 0.8497
H 0.7695 0.9586 0.3497
H 0.7695 0.4586 0.1503
H 0.2305 0.0414 0.6503
H 0.4273 0.7055 0.8100
H 0.5727 0.7945 0.3100
H 0.5727 0.2945 0.1900
H 0.4273 0.2055 0.6900
H 0.5160 0.5807 0.8816
H 0.4840 0.9193 0.3816
H 0.4840 0.4193 0.1184
H 0.5160 0.0807 0.6184
H 0.3529 0.6778 0.9377
H 0.6471 0.8222 0.4377
H 0.6471 0.3222 0.0623
H 0.3529 0.1778 0.5623
H 0.3404 0.7036 0.5907
H 0.6596 0.7964 0.0907
H 0.6596 0.2964 0.4093
H 0.3404 0.2036 0.9093
H 0.1029 0.7400 0.6225
H 0.8971 0.7600 0.1225
H 0.8971 0.2600 0.3775
H 0.1029 0.2400 0.8775
H 0.9485 0.2072 0.6124
H 0.0515 0.2928 0.1124
H 0.0515 0.7928 0.3876
H 0.9485 0.7072 0.8876
H 0.0304 0.3364 0.6949
H 0.9696 0.1636 0.1949
H 0.9696 0.6636 0.3051
H 0.0304 0.8364 0.8051
H 0.3343 0.4092 0.4296
H 0.6657 0.0908 0.9296
H 0.6657 0.5908 0.5704
H 0.3343 0.9092 0.0704
H 0.3197 0.5450 0.3548
H 0.6803 0.9550 0.8548
H 0.6803 0.4550 0.6452
H 0.3197 0.0450 0.1452
S 0.7488 0.8843 0.6455
S 0.2512 0.6157 0.1455
S 0.2512 0.1157 0.3545
S 0.7488 0.3843 0.8545
N 0.3798 0.6257 0.8688
N 0.6202 0.8743 0.3688
N 0.6202 0.3743 0.1312
N 0.3798 0.1257 0.6312
O 0.6109 0.8701 0.7425
O 0.3891 0.6299 0.2425
O 0.3891 0.1299 0.2575
O 0.6109 0.3701 0.7575
O 0.7652 0.0271 0.5928
O 0.2348 0.4729 0.0928
O 0.2348 0.9729 0.4072
O 0.7652 0.5271 0.9072
O 0.6281 0.7597 0.5735
O 0.3719 0.7403 0.0735
O 0.3719 0.2403 0.4265
O 0.6281 0.2597 0.9265
O 0.9839 0.8740 0.6694
O 0.0161 0.6260 0.1694
O 0.0161 0.1260 0.3306
O 0.9839 0.3740 0.8306
O 0.1713 0.6596 0.6030
O 0.8287 0.8404 0.1030
O 0.8287 0.3404 0.3970
O 0.1713 0.1596 0.8970
O 0.0522 0.3099 0.6215
O 0.9478 0.1901 0.1215
O 0.9478 0.6901 0.3785
O 0.0522 0.8099 0.8785
O 0.2976 0.5060 0.4283
O 0.7024 0.9940 0.9283
O 0.7024 0.4940 0.5717
O 0.2976 0.0060 0.0717

Calculated values
Space-group type = P2_1/c, No. 14
Calculated total energy = -6.573 eV/atom
Spin magnetization = 0.1026 μB/atom